Here is crystalline CsNdNiF6 at its relaxed geometry from the Alexandria database. Energies are from PBE with a Hubbard U.

The structure belongs to space group P1 (No. 1); the cell edges are 5.8433, 5.8536 and 6.3915 Å and the angles 90.29°, 90.41° and 119.19°. The distinct sites, in fractional coordinates, are Cs at (0.0000, 0.0000, 0.0000), Nd at (0.3332, 0.6668, 0.4999), Ni at (0.6685, 0.3305, 0.4994), F at (0.3966, 0.3626, 0.3182), F at (0.4030, 0.0322, 0.6842), F at (0.6308, 0.0250, 0.3172), F at (0.6379, 0.6026, 0.6811), F at (0.9670, 0.5959, 0.3148) and F at (0.9741, 0.3667, 0.6811).

The calculation puts the energy at -47.529 eV for the cell shown. The value obtained for the total magnetic moment is 0.2113 μB/atom. The calculation puts the density of states at the Fermi level at 0.00 states/eV per atom. As for the volume: 21.2 Å³ per atom.